Model one:
DFT (PBE) results for a relaxed structure of Sc3AlIr.

a = 5.003 Å, b = 5.003 Å, c = 5.003 Å
α = 90.00°, β = 90.00°, γ = 90.00°
Space group Pm-3m (No. 221)
One atom of each set of equivalent atoms:
Sc: 0.000 0.000 0.500 x3
Al: 0.500 0.500 0.500 x1
Ir: 0.000 0.000 0.000 x1

D(E_F) = 4.61 states/eV per cell



Model two:
DFT (PBE) results for a relaxed structure of Sc3AlIr.

a = 4.939 Å, b = 4.939 Å, c = 4.939 Å
α = 90.00°, β = 90.00°, γ = 90.00°
Space group Pm-3m (No. 221)
One atom of each set of equivalent atoms:
Sc: 0.000 0.000 0.500 x3
Al: 0.000 0.000 0.000 x1
Ir: 0.500 0.500 0.500 x1

D(E_F) = 8.57 states/eV per cell



The winner here is model one, beating the second structure by 877 meV/atom.



Model one:
DFT (PBE) results for a relaxed structure of ScAl3Ir.

a = 6.656 Å, b = 4.034 Å, c = 6.832 Å
α = 90.00°, β = 104.71°, γ = 90.00°
Space group P2_1/m (No. 11)
One atom of each set of equivalent atoms:
Sc: 0.206 0.250 0.177 x2
Al: 0.074 0.250 0.657 x2
Al: 0.314 0.750 0.902 x2
Al: 0.347 0.750 0.517 x2
Ir: 0.459 0.250 0.747 x2

D(E_F) = 4.46 states/eV per cell



Model two:
DFT (PBE) results for a relaxed structure of ScAl3Ir.

a = 4.696 Å, b = 4.696 Å, c = 4.696 Å
α = 90.00°, β = 90.00°, γ = 90.00°
Space group Pm-3m (No. 221)
One atom of each set of equivalent atoms:
Sc: 0.000 0.000 0.000 x1
Al: 0.000 0.500 0.500 x3
Ir: 0.500 0.500 0.500 x1

D(E_F) = 4.57 states/eV per cell



The winner here is model one, beating the second structure by 461 meV/atom.



Model one:
DFT (PBE) results for a relaxed structure of AlIrSe.

a = 3.1619 Å, b = 3.1619 Å, c = 5.7283 Å
α = 90.00°, β = 90.00°, γ = 120.00°
Space group P3m1 (No. 156)
One atom of each set of equivalent atoms:
Al: 0.0000 0.0000 0.0000 x1
Ir: 0.6667 0.3333 0.3024 x1
Se: 0.3333 0.6667 0.6540 x1

D(E_F) = 2.00 states/eV per cell



Model two:
DFT (PBE) results for a relaxed structure of AlIrSe.

a = 3.091 Å, b = 3.760 Å, c = 8.352 Å
α = 90.00°, β = 90.00°, γ = 90.00°
Space group Imm2 (No. 44)
One atom of each set of equivalent atoms:
Al: 0.000 0.000 0.000 x2
Ir: 0.000 0.000 0.634 x2
Se: 0.000 0.000 0.324 x2

D(E_F) = 1.77 states/eV per cell



Model three:
DFT (PBE) results for a relaxed structure of AlIrSe.

a = 2.976 Å, b = 2.976 Å, c = 11.098 Å
α = 90.00°, β = 90.00°, γ = 90.00°
Space group I4mm (No. 107)
One atom of each set of equivalent atoms:
Al: 0.000 0.000 0.000 x2
Ir: 0.000 0.000 0.631 x2
Se: 0.000 0.000 0.308 x2

D(E_F) = 3.51 states/eV per cell



The winner here is model one, beating the second structure by 23 meV/atom.